Entry from Alexandria via LeMat-Bulk: a geometry-optimized AlZnAgHg structure (GGA-PBE).

Geometry as POSCAR:
```
AlZnAgHg
1.0
4.7054 0.0000 0.0000
2.3527 4.0750 0.0000
2.3527 1.3583 3.8419
Zn Hg Ag Al
1 1 1 1
Direct
0.5000 0.5000 0.5000 Zn
0.7500 0.7500 0.7500 Hg
0.2500 0.2500 0.2500 Ag
0.0000 0.0000 0.0000 Al
```

Values from the calculation:
DOS(E_F)   2.5 states/eV/f.u.
Calculated formation energy   0.17 eV per atom